Density functional theory data (PBE-GGA) for a geometry-optimized Os2SeBr structure.

The structure in extended XYZ format:
```
8
Lattice="2.917 0.000 0.000 0.000 4.461 0.000 0.000 0.000 10.677" Properties=species:S:1:pos:R:3 pbc="T T T"
Os 0.000 0.000 0.000
Os 0.000 2.231 3.178
Os 1.459 0.000 8.517
Os 1.459 2.231 5.339
Se 0.000 0.000 5.963
Se 1.459 2.231 0.625
Br 0.000 2.231 8.193
Br 1.459 0.000 2.855
```

Results
raw formation energy: 422.7 kJ/mol of formula units
ΔE to the lowest computed polymorph: 0.703 eV per atom
V: 17.37 Å³/atom
mass density: 12.89 g/cm3
magnetization: 0.0 μB/f.u.
uncorrected energy: -5.81 eV per atom